(A)
Material: LiHo3Ru
Method: DFT, PBE-GGA
State: optimized geometry

Computed properties:
DOS(E_F) in states/eV/atom: 0.77
Magnetic moment in μB per formula unit: 0.0

a b c (Å): 11.382 7.299 13.409
angles (deg): 90.00 110.11 90.00
Space group C2/c (No. 15)
Unique sites:
Li  0.049  0.132  0.168 [8 per cell]
Ho  0.042  0.266  0.562 [8 per cell]
Ho  0.162  0.474  0.327 [8 per cell]
Ho  0.214  0.070  0.891 [8 per cell]
Ru  0.000  0.219  0.750 [4 per cell]
Ru  0.250  0.250  0.500 [4 per cell]

(B)
Material: LiHo3Ru
Method: DFT, PBE-GGA
State: optimized geometry

Computed properties:
DOS(E_F) in states/eV/atom: 0.84
Magnetic moment in μB per formula unit: 0.0

a b c (Å): 5.357 5.357 5.357
angles (deg): 90.00 90.00 90.00
Space group Pm-3m (No. 221)
Unique sites:
Li  0.000  0.000  0.000 [1 per cell]
Ho  0.000  0.500  0.500 [3 per cell]
Ru  0.500  0.500  0.500 [1 per cell]

The most stable arrangement is (A), and the next structure is 6.4 kJ/mol of atoms less stable.

(A)
Material: LiHoRu
Method: DFT, PBE-GGA
State: optimized geometry

Computed properties:
DOS(E_F) in states/eV/atom: 0.32
Magnetic moment in μB per formula unit: 0.0

a b c (Å): 3.461 3.461 8.887
angles (deg): 90.00 90.00 90.00
Space group I4mm (No. 107)
Unique sites:
Li  0.000  0.000  0.000 [2 per cell]
Ho  0.000  0.000  0.304 [2 per cell]
Ru  0.000  0.000  0.635 [2 per cell]

(B)
Material: LiHoRu
Method: DFT, PBE-GGA
State: optimized geometry

Computed properties:
DOS(E_F) in states/eV/atom: 0.56
Magnetic moment in μB per formula unit: 0.0

a b c (Å): 7.099 8.726 4.530
angles (deg): 90.00 129.44 90.00
Space group C2/c (No. 15)
Unique sites:
Li  0.000  0.021  0.250 [4 per cell]
Ho  0.000  0.368  0.250 [4 per cell]
Ru  0.250  0.250  0.000 [4 per cell]

The most stable arrangement is (B), and the next structure is 2.2 kJ/mol of atoms less stable.

(A)
Material: LiHo2S
Method: DFT, PBE-GGA
State: optimized geometry

Computed properties:
DOS(E_F) in states/eV/atom: 0.76
Magnetic moment in μB per formula unit: 0.0

a b c (Å): 3.6417 3.6417 29.1816
angles (deg): 90.00 90.00 120.00
Space group R-3m (No. 166, hexagonal axes)
Unique sites:
Li  0.0000  0.0000  0.0000 [3 per cell]
Ho  0.0000  0.0000  0.1105 [6 per cell]
S  0.0000  0.0000  0.5000 [3 per cell]

(B)
Material: LiHo2S
Method: DFT, PBE-GGA
State: optimized geometry

Computed properties:
DOS(E_F) in states/eV/atom: 0.81
Magnetic moment in μB per formula unit: 0.1

a b c (Å): 3.7017 3.7017 25.9358
angles (deg): 90.00 90.00 120.00
Space group R3m (No. 160, hexagonal axes)
Unique sites:
Li  0.0000  0.0000  0.0000 [3 per cell]
Ho  0.0000  0.0000  0.2292 [3 per cell]
Ho  0.0000  0.0000  0.4371 [3 per cell]
S  0.0000  0.0000  0.8328 [3 per cell]

The most stable arrangement is (B), and the next structure is 12.0 kJ/mol of atoms less stable.